[1]
Rb3InMo | PBE | relaxed

The structure in CIF format:
```
data_Rb3InMo
_cell_length_a 6.999
_cell_length_b 6.999
_cell_length_c 6.999
_cell_angle_alpha 90.00
_cell_angle_beta 90.00
_cell_angle_gamma 90.00
_symmetry_space_group_name_H-M 'P m -3 m'
_symmetry_Int_Tables_number 221
_symmetry_space_group_name_Hall '-P 4 2 3'
loop_
_atom_site_label
_atom_site_type_symbol
_atom_site_fract_x
_atom_site_fract_y
_atom_site_fract_z
Rb1 Rb 0.000 0.000 0.500
In1 In 0.000 0.000 0.000
Mo1 Mo 0.500 0.500 0.500
```

Summary:
E ... -0.1532 Ry/atom
Fermi-level density of states ... 5.06 states/eV per cell
ΔE to the lowest computed polymorph ... 0 meV/atom
Formation energy from the elements ... 6.05 eV/f.u.


[2]
RbInMo2 | PBE | relaxed

The structure in CIF format:
```
data_RbInMo2
_cell_length_a 8.400
_cell_length_b 8.400
_cell_length_c 5.521
_cell_angle_alpha 90.00
_cell_angle_beta 90.00
_cell_angle_gamma 90.00
_symmetry_space_group_name_H-M 'I -4 2 d'
_symmetry_Int_Tables_number 122
_symmetry_space_group_name_Hall 'I -4 2bw'
loop_
_atom_site_label
_atom_site_type_symbol
_atom_site_fract_x
_atom_site_fract_y
_atom_site_fract_z
Rb1 Rb 0.000 0.000 0.000
In1 In 0.000 0.000 0.500
Mo1 Mo 0.207 0.750 0.625
```

Summary:
E ... -0.3274 Ry/atom
Fermi-level density of states ... 17.57 states/eV per cell
Formation energy from the elements ... 7.55 eV/f.u.


[3]
RbIn2ReMo | PBE | relaxed

The structure in CIF format:
```
data_RbIn2ReMo
_cell_length_a 5.386
_cell_length_b 5.386
_cell_length_c 4.923
_cell_angle_alpha 90.00
_cell_angle_beta 90.00
_cell_angle_gamma 90.00
_symmetry_space_group_name_H-M 'P 4/m m m'
_symmetry_Int_Tables_number 123
_symmetry_space_group_name_Hall '-P 4 2'
loop_
_atom_site_label
_atom_site_type_symbol
_atom_site_fract_x
_atom_site_fract_y
_atom_site_fract_z
Rb1 Rb 0.000 0.000 0.000
In1 In 0.000 0.500 0.500
Re1 Re 0.500 0.500 0.500
Mo1 Mo 0.500 0.500 0.000
```

Summary:
E ... -0.3828 Ry/atom
Fermi-level density of states ... 1.87 states/eV per cell
Formation energy from the elements ... 3.68 eV/f.u.


[4]
RbIn2TcMo | PBE | relaxed

The structure in CIF format:
```
data_RbIn2TcMo
_cell_length_a 5.381
_cell_length_b 5.381
_cell_length_c 4.857
_cell_angle_alpha 90.00
_cell_angle_beta 90.00
_cell_angle_gamma 90.00
_symmetry_space_group_name_H-M 'P 4/m m m'
_symmetry_Int_Tables_number 123
_symmetry_space_group_name_Hall '-P 4 2'
loop_
_atom_site_label
_atom_site_type_symbol
_atom_site_fract_x
_atom_site_fract_y
_atom_site_fract_z
Rb1 Rb 0.000 0.000 0.000
In1 In 0.000 0.500 0.500
Tc1 Tc 0.500 0.500 0.500
Mo1 Mo 0.500 0.500 0.000
```

Summary:
E ... -0.3606 Ry/atom
Fermi-level density of states ... 1.78 states/eV per cell
Formation energy from the elements ... 3.11 eV/f.u.